(1)
Below is Ce6C3SO2 after structural relaxation, with properties calculated at the GGA-PBE level.

Results
ΔE_f (raw) in meV/atom: -1370

Cell and atoms, written as CIF:
```
data_Ce6C3SO2
_chemical_formula_sum 'Ce12 C6 S2 O4'
_space_group_name_H-M_alt 'C 1 2/m 1'
_space_group_IT_number 12
_cell_length_a 16.072
_cell_length_b 3.695
_cell_length_c 7.401
_cell_angle_alpha 90.00
_cell_angle_beta 102.99
_cell_angle_gamma 90.00
loop_
_space_group_symop_operation_xyz
'x,y,z'
'-x,-y,-z'
'-x,y,-z'
'x,-y,z'
'x+1/2,y+1/2,z'
'-x+1/2,-y+1/2,-z'
'-x+1/2,y+1/2,-z'
'x+1/2,-y+1/2,z'
loop_
_atom_site_label
_atom_site_type_symbol
_atom_site_fract_x
_atom_site_fract_y
_atom_site_fract_z
_atom_site_occupancy
Ce1 Ce 0.001 0.000 0.272 1
Ce2 Ce 0.167 0.500 0.584 1
Ce3 Ce 0.175 0.500 0.088 1
C1 C 0.000 0.500 0.500 1
C2 C 0.168 0.000 0.826 1
S1 S 0.000 0.500 0.000 1
O1 O 0.171 0.000 0.338 1
```

***

(2)
Below is TaHgP2 after structural relaxation, with properties calculated at the GGA-PBE level.

Results
Formation enthalpy at 0 K in eV/atom: 0.292

Cell and atoms, written as CIF:
```
data_TaHgP2
_chemical_formula_sum 'Ta2 Hg2 P4'
_space_group_name_H-M_alt 'I m m m'
_space_group_IT_number 71
_space_group_name_Hall '-I 2 2'
_cell_length_a 3.100
_cell_length_b 5.106
_cell_length_c 10.753
_cell_angle_alpha 90.00
_cell_angle_beta 90.00
_cell_angle_gamma 90.00
loop_
_atom_site_label
_atom_site_type_symbol
_atom_site_fract_x
_atom_site_fract_y
_atom_site_fract_z
_atom_site_occupancy
Ta1 Ta 0.000 0.000 0.000 1
Hg1 Hg 0.000 0.000 0.500 1
P1 P 0.000 0.500 0.322 1
```

***

(3)
Below is BeInTc2 after structural relaxation, with properties calculated at the GGA-PBE level.

Results
Offset from the most stable computed form in meV/atom: 488
Formation enthalpy at 0 K in eV/atom: 0.477

Cell and atoms, written as CIF:
```
data_BeInTc2
_chemical_formula_sum 'Be4 In4 Tc8'
_space_group_name_H-M_alt 'F m -3 m'
_space_group_IT_number 225
_space_group_name_Hall '-F 4 2 3'
_cell_length_a 6.182
_cell_length_b 6.182
_cell_length_c 6.182
_cell_angle_alpha 90.00
_cell_angle_beta 90.00
_cell_angle_gamma 90.00
loop_
_atom_site_label
_atom_site_type_symbol
_atom_site_fract_x
_atom_site_fract_y
_atom_site_fract_z
_atom_site_occupancy
Be1 Be 0.000 0.000 0.000 1
In1 In 0.000 0.000 0.500 1
Tc1 Tc 0.250 0.250 0.250 1
```

***

(4)
Below is LiBiRhO6 after structural relaxation, with properties calculated at the GGA-PBE level.

Results
ΔE_f (raw) in meV/atom: -758

Cell and atoms, written as CIF:
```
data_LiBiRhO6
_chemical_formula_sum 'Li2 Bi2 Rh2 O12'
_space_group_name_H-M_alt 'P 42 n m'
_space_group_IT_number 102
_cell_length_a 4.764
_cell_length_b 4.764
_cell_length_c 9.625
_cell_angle_alpha 90.00
_cell_angle_beta 90.00
_cell_angle_gamma 90.00
loop_
_space_group_symop_operation_xyz
'x,y,z'
'-y+1/2,x+1/2,z+1/2'
'-x,-y,z'
'y+1/2,-x+1/2,z+1/2'
'-x+1/2,y+1/2,z+1/2'
'y,x,z'
'x+1/2,-y+1/2,z+1/2'
'-y,-x,z'
loop_
_atom_site_label
_atom_site_type_symbol
_atom_site_fract_x
_atom_site_fract_y
_atom_site_fract_z
_atom_site_occupancy
Li1 Li 0.000 0.000 0.000 1
Bi1 Bi 0.000 0.000 0.666 1
Rh1 Rh 0.000 0.000 0.333 1
O1 O 0.182 0.182 0.172 1
O2 O 0.195 0.195 0.481 1
O3 O 0.215 0.215 0.838 1
```

***

(5)
Below is La2Pm2Zn after structural relaxation, with properties calculated at the GGA-PBE level.

Results
Offset from the most stable computed form in meV/atom: 68
Formation enthalpy at 0 K in eV/atom: -0.046

Cell and atoms, written as CIF:
```
data_La2Pm2Zn
_chemical_formula_sum 'La8 Pm8 Zn4'
_space_group_name_H-M_alt 'C 1 2/m 1'
_space_group_IT_number 12
_cell_length_a 8.545
_cell_length_b 9.616
_cell_length_c 8.351
_cell_angle_alpha 90.00
_cell_angle_beta 114.61
_cell_angle_gamma 90.00
loop_
_space_group_symop_operation_xyz
'x,y,z'
'-x,-y,-z'
'-x,y,-z'
'x,-y,z'
'x+1/2,y+1/2,z'
'-x+1/2,-y+1/2,-z'
'-x+1/2,y+1/2,-z'
'x+1/2,-y+1/2,z'
loop_
_atom_site_label
_atom_site_type_symbol
_atom_site_fract_x
_atom_site_fract_y
_atom_site_fract_z
_atom_site_occupancy
La1 La 0.164 0.000 0.412 1
La2 La 0.224 0.500 0.128 1
Pm1 Pm 0.079 0.309 0.736 1
Zn1 Zn 0.000 0.144 0.000 1
```

***

(6)
Below is Ce5GePb3 after structural relaxation, with properties calculated at the GGA-PBE level.

Results
Formation enthalpy at 0 K in eV/atom: -0.525

Cell and atoms, written as CIF:
```
data_Ce5GePb3
_chemical_formula_sum 'Ce10 Ge2 Pb6'
_space_group_name_H-M_alt 'P 63/m c m'
_space_group_IT_number 193
_space_group_name_Hall '-P 6c 2'
_cell_length_a 9.6311
_cell_length_b 9.6311
_cell_length_c 6.5044
_cell_angle_alpha 90.00
_cell_angle_beta 90.00
_cell_angle_gamma 120.00
loop_
_atom_site_label
_atom_site_type_symbol
_atom_site_fract_x
_atom_site_fract_y
_atom_site_fract_z
_atom_site_occupancy
Ce1 Ce 0.0000 0.2576 0.2500 1
Ce2 Ce 0.3333 0.6667 0.0000 1
Ge1 Ge 0.0000 0.0000 0.0000 1
Pb1 Pb 0.0000 0.3846 0.7500 1
```

***

(7)
Below is ThScN after structural relaxation, with properties calculated at the GGA-PBE level.

Results
ΔE_f (raw) in meV/atom: -962
Offset from the most stable computed form in meV/atom: 55

Cell and atoms, written as CIF:
```
data_ThScN
_chemical_formula_sum 'Th1 Sc1 N1'
_space_group_name_H-M_alt 'P 3 m 1'
_space_group_IT_number 156
_cell_length_a 3.3925
_cell_length_b 3.3925
_cell_length_c 6.1108
_cell_angle_alpha 90.00
_cell_angle_beta 90.00
_cell_angle_gamma 120.00
loop_
_space_group_symop_operation_xyz
'x,y,z'
'-y,x-y,z'
'-x+y,-x,z'
'-y,-x,z'
'-x+y,y,z'
'x,x-y,z'
loop_
_atom_site_label
_atom_site_type_symbol
_atom_site_fract_x
_atom_site_fract_y
_atom_site_fract_z
_atom_site_occupancy
Th1 Th 0.0000 0.0000 0.0000 1
Sc1 Sc 0.3333 0.6667 0.4441 1
N1 N 0.6667 0.3333 0.2755 1
```

***

(8)
Below is CeMg2In2Au2 after structural relaxation, with properties calculated at the GGA-PBE level.

Results
Formation enthalpy at 0 K in eV/atom: -0.394

Cell and atoms, written as CIF:
```
data_CeMg2In2Au2
_chemical_formula_sum 'Ce3 Mg6 In6 Au6'
_space_group_name_H-M_alt 'R -3 m'
_space_group_IT_number 166
_space_group_name_Hall '-R 3 2"'
_cell_length_a 4.6586
_cell_length_b 4.6586
_cell_length_c 25.4313
_cell_angle_alpha 90.00
_cell_angle_beta 90.00
_cell_angle_gamma 120.00
loop_
_atom_site_label
_atom_site_type_symbol
_atom_site_fract_x
_atom_site_fract_y
_atom_site_fract_z
_atom_site_occupancy
Ce1 Ce 0.0000 0.0000 0.0000 1
Mg1 Mg 0.0000 0.0000 0.1377 1
In1 In 0.0000 0.0000 0.2626 1
Au1 Au 0.0000 0.0000 0.4382 1
```

***

Number 1: total magnetization 0.03 μB per formula unit, raw total energy -7.81 eV/atom. Number 2: total magnetization 0.00 μB per formula unit, raw total energy -5.45 eV/atom. Number 3: total magnetization 1.21 μB per formula unit, raw total energy -6.32 eV/atom. Number 4: total magnetization 0.23 μB per formula unit, raw total energy -5.52 eV/atom. Number 5: total magnetization 0.00 μB per formula unit, raw total energy -4.17 eV/atom. Number 6: total magnetization 4.76 μB per formula unit, raw total energy -5.57 eV/atom. Number 7: total magnetization 0.15 μB per formula unit, raw total energy -8.32 eV/atom. Number 8: total magnetization 0.89 μB per formula unit, raw total energy -3.42 eV/atom.